TmMn4Cu3O12 GGA+U optimized geometry; E_tot = -134.56 eV per cell; space group = Im-3, No. 204; density of states at the Fermi level = 0.448 states/eV/atom
1.0
-4.489 -4.380 -1.292
4.299 -2.479 4.047
-2.736 5.135 2.674
O Mn Cu Tm
12 4 3 1
Direct
0.868 0.169 0.699
0.169 0.301 0.470
0.470 0.169 0.301
0.132 0.831 0.301
0.699 0.868 0.169
0.169 0.699 0.868
0.699 0.530 0.831
0.301 0.470 0.169
0.831 0.301 0.132
0.301 0.132 0.831
0.831 0.699 0.530
0.530 0.831 0.699
0.500 0.000 0.000
0.000 0.500 0.000
0.500 0.500 0.500
0.000 0.000 0.500
0.500 0.500 0.000
0.000 0.500 0.500
0.500 0.000 0.500
0.000 0.000 0.000